## As2OsSeO (PBE-GGA)

Data for crystalline As2OsSeO at its relaxed geometry.

Cell lengths 4.779, 4.779, 4.788 Å; angles 90.00, 90.00, 90.00 degrees
Fractional positions:
As 0.000 0.500 0.000
As 0.500 0.000 0.000
Os 0.000 0.000 0.000
O 0.500 0.500 0.500
Se 0.000 0.000 0.500

Summary:
**Total moment**: 0.0 μB/cell
**Formation energy (no corrections)**: 1.03 eV per atom
**Calculated volume**: 109.4 Å³/f.u.
**Total DFT energy (no corrections)**: -23.8 eV per cell
**Offset from the most stable computed form**: 0.291 eV per atom